# TlV2AsO8 GGA+U optimized geometry
# Total DFT energy (no corrections) (eV per atom): -6.655
# Space-group type: C2/m
# Density of states at the Fermi level (states/eV per atom): 0.0000
data_TlV2AsO8
_chemical_formula_sum 'Tl1 V2 As1 O8'
_space_group_name_H-M_alt 'P 1'
_space_group_IT_number 1
_cell_length_a 5.178
_cell_length_b 5.178
_cell_length_c 8.062
_cell_angle_alpha 87.20
_cell_angle_beta 87.20
_cell_angle_gamma 64.40
loop_
_space_group_symop_operation_xyz
'x,y,z'
loop_
_atom_site_label
_atom_site_fract_x
_atom_site_fract_y
_atom_site_fract_z
O1 0.213 0.748 0.837
Tl1 0.000 0.000 0.500
O2 0.316 0.316 0.618
O3 0.790 0.790 0.043
O4 0.210 0.210 0.957
O5 0.748 0.213 0.837
O6 0.252 0.787 0.163
V1 0.366 0.366 0.812
O7 0.787 0.252 0.163
V2 0.634 0.634 0.188
O8 0.684 0.684 0.382
As1 0.000 0.000 0.000

---

# Tl2VAsO6 GGA+U optimized geometry
# Total DFT energy (no corrections) (eV per atom): -5.769
# Space-group type: R-3m
# Density of states at the Fermi level (states/eV per atom): 0.5141
data_Tl2VAsO6
_chemical_formula_sum 'Tl4 V2 As2 O12'
_space_group_name_H-M_alt 'P 1'
_space_group_IT_number 1
_cell_length_a 5.809
_cell_length_b 5.809
_cell_length_c 10.066
_cell_angle_alpha 73.23
_cell_angle_beta 73.23
_cell_angle_gamma 60.00
loop_
_space_group_symop_operation_xyz
'x,y,z'
loop_
_atom_site_label
_atom_site_fract_x
_atom_site_fract_y
_atom_site_fract_z
Tl1 0.726 0.726 0.821
O1 0.216 0.216 0.871
O2 0.600 0.600 0.626
As1 0.000 0.000 0.000
As2 0.500 0.500 0.500
Tl2 0.274 0.274 0.179
V1 0.597 0.597 0.208
V2 0.403 0.403 0.792
O3 0.400 0.826 0.374
O4 0.216 0.697 0.871
O5 0.303 0.784 0.129
O6 0.600 0.174 0.626
O7 0.784 0.784 0.129
Tl3 0.133 0.133 0.600
O8 0.174 0.600 0.626
O9 0.826 0.400 0.374
Tl4 0.867 0.867 0.400
O10 0.400 0.400 0.374
O11 0.784 0.303 0.129
O12 0.697 0.216 0.871

---

# TlV2As2O7 GGA+U optimized geometry
# Total DFT energy (no corrections) (eV per atom): -6.579
# Space-group type: R32
# Density of states at the Fermi level (states/eV per atom): 0.4619
data_TlV2As2O7
_chemical_formula_sum 'Tl1 V2 As2 O7'
_space_group_name_H-M_alt 'P 1'
_space_group_IT_number 1
_cell_length_a 5.667
_cell_length_b 5.667
_cell_length_c 9.050
_cell_angle_alpha 71.75
_cell_angle_beta 71.75
_cell_angle_gamma 60.00
loop_
_space_group_symop_operation_xyz
'x,y,z'
loop_
_atom_site_label
_atom_site_fract_x
_atom_site_fract_y
_atom_site_fract_z
O1 0.452 0.981 0.714
As1 0.274 0.274 0.179
V1 0.072 0.072 0.783
V2 0.928 0.928 0.217
O2 0.548 0.146 0.286
O3 0.981 0.854 0.714
Tl1 0.500 0.500 0.500
O4 0.000 0.000 0.000
O5 0.019 0.548 0.286
As2 0.726 0.726 0.821
O6 0.146 0.019 0.286
O7 0.854 0.452 0.714

---

# TlVAsO6 GGA+U optimized geometry
# Total DFT energy (no corrections) (eV per atom): -6.230
# Space-group type: C2
# Density of states at the Fermi level (states/eV per atom): 0.0700
data_TlVAsO6
_chemical_formula_sum 'Tl1 V1 As1 O6'
_space_group_name_H-M_alt 'P 1'
_space_group_IT_number 1
_cell_length_a 5.110
_cell_length_b 5.110
_cell_length_c 4.776
_cell_angle_alpha 90.49
_cell_angle_beta 89.51
_cell_angle_gamma 58.84
loop_
_space_group_symop_operation_xyz
'x,y,z'
loop_
_atom_site_label
_atom_site_fract_x
_atom_site_fract_y
_atom_site_fract_z
O1 0.016 0.620 0.721
V1 0.661 0.661 0.500
O2 0.622 0.367 0.717
O3 0.620 0.016 0.279
O4 0.369 0.011 0.714
As1 0.335 0.335 0.500
Tl1 0.997 0.997 0.000
O5 0.011 0.370 0.286
O6 0.367 0.623 0.283